A plane-wave DFT calculation with PBE was carried out for an optimized crystal structure of CdRePb.

abc: 7.5061 7.5061 7.5061
angles: 156.41 156.41 33.60
Positions (direct):
Cd 0.0000 0.0000 0.0000
Re 0.3684 0.3684 0.0000
Pb 0.7207 0.7207 0.0000

spin magnetization = 1.1 μB/f.u.
density = 12.42 g cm⁻³
space group = I4mm (107)
energy of formation from the pure elements = 85 kJ per mole of atoms
total DFT energy (no corrections) = -14.4 eV/cell
energy above the most stable polymorph in this dataset = 0.056 eV per atom



A plane-wave DFT calculation with PBE was carried out for an optimized crystal structure of CdRePb2.

abc: 2.9568 4.2926 7.9563
angles: 90.00 90.00 90.00
Positions (direct):
Cd 0.0000 0.0000 0.0000
Re 0.5000 0.5000 0.8413
Pb 0.0000 0.0000 0.6154
Pb 0.5000 0.5000 0.2285

spin magnetization = 0.0 μB/f.u.
density = 11.72 g cm⁻³
space group = Pmm2 (25)
energy of formation from the pure elements = 69 kJ per mole of atoms
total DFT energy (no corrections) = -17.9 eV/cell



A plane-wave DFT calculation with PBE was carried out for an optimized crystal structure of Cd3RePb.

abc: 5.2445 5.2445 5.2445
angles: 90.00 90.00 90.00
Positions (direct):
Cd 0.0000 0.0000 0.5000
Cd 0.0000 0.5000 0.0000
Cd 0.5000 0.0000 0.0000
Re 0.0000 0.0000 0.0000
Pb 0.5000 0.5000 0.5000

spin magnetization = 0.7 μB/f.u.
density = 8.41 g cm⁻³
space group = Pm-3m (221)
energy of formation from the pure elements = 87 kJ per mole of atoms
total DFT energy (no corrections) = -14.4 eV/cell
energy above the most stable polymorph in this dataset = 0.000 eV per atom



A plane-wave DFT calculation with PBE was carried out for an optimized crystal structure of CdRePb2.

abc: 7.6747 7.6747 7.6747
angles: 157.31 142.47 44.31
Positions (direct):
Cd 0.0000 0.0000 0.0000
Re 0.5000 0.5000 0.0000
Pb 0.3276 0.8276 0.5000
Pb 0.6724 0.1724 0.5000

spin magnetization = 0.2 μB/f.u.
density = 11.17 g cm⁻³
space group = Immm (71)
energy of formation from the pure elements = 56 kJ per mole of atoms
total DFT energy (no corrections) = -18.5 eV/cell



A plane-wave DFT calculation with PBE was carried out for an optimized crystal structure of CdRePb2.

abc: 4.7619 5.6700 5.6700
angles: 36.68 90.00 90.00
Positions (direct):
Cd 0.0000 0.0000 0.0000
Re 0.5000 0.8544 0.8544
Pb 0.0000 0.2725 0.2725
Pb 0.5000 0.5767 0.5767

spin magnetization = 0.0 μB/f.u.
density = 12.95 g cm⁻³
space group = Amm2 (38)
energy of formation from the pure elements = 71 kJ per mole of atoms
total DFT energy (no corrections) = -17.8 eV/cell



A plane-wave DFT calculation with PBE was carried out for an optimized crystal structure of CdRePb.

abc: 9.0504 8.8534 2.9374
angles: 84.37 76.78 18.84
Positions (direct):
Cd 0.0000 0.0000 0.0000
Re 0.6391 0.6391 0.3609
Pb 0.2817 0.2817 0.7183

spin magnetization = 0.0 μB/f.u.
density = 12.25 g cm⁻³
space group = Fmm2 (42)
energy of formation from the pure elements = 82 kJ per mole of atoms
total DFT energy (no corrections) = -14.5 eV/cell
energy above the most stable polymorph in this dataset = 0.031 eV per atom